No. 1
## HfReBr3 (meta-GGA SCAN)

Data for a PBEsol-optimized structure of HfReBr3.

The structure belongs to space group Pm-3m (No. 221); the cell edges are 5.187, 5.187 and 5.187 Å and the angles 90.00°, 90.00° and 90.00°. The inequivalent atoms are Hf at (0.000, 0.000, 0.000), Re at (0.500, 0.500, 0.500) and Br at (0.000, 0.000, 0.500).

The raw total energy is -188.552 eV per cell. Its size of the total moment is 0.992 μB per atom. The value obtained for the raw formation energy is 0.72 eV/atom. For the density of states at the Fermi level, the calculation gives 0.59 states/eV per atom.

No. 2
## Y3CoAu (meta-GGA SCAN)

Data for a PBEsol-optimized structure of Y3CoAu.

The structure belongs to space group Pm-3m (No. 221); the cell edges are 5.013, 5.013 and 5.013 Å and the angles 90.00°, 90.00° and 90.00°. The inequivalent atoms are Y at (0.000, 0.000, 0.500), Co at (0.000, 0.000, 0.000) and Au at (0.500, 0.500, 0.500).

Its formation enthalpy at 0 K is -194 meV/atom. The raw total energy is -170.962 eV per cell. Its size of the total moment is 0.000 μB per atom. For the density of states at the Fermi level, the calculation gives 0.69 states/eV per atom.

No. 3
## RuPt2Rh (meta-GGA SCAN)

Data for a PBEsol-optimized structure of RuPt2Rh.

The structure belongs to space group Cmmm (No. 65); the cell edges are 5.426, 7.702 and 2.706 Å and the angles 90.00°, 90.00° and 90.00°. The inequivalent atoms are Ru at (0.000, 0.000, 0.000), Pt at (0.250, 0.250, 0.500) and Rh at (0.000, 0.500, 0.000).

Its formation enthalpy at 0 K is 19 meV/atom. The raw total energy is -417.816 eV per cell. Its size of the total moment is 0.000 μB per atom. As for the energy above the lowest structure with this stoichiometry: 0.065 eV per atom. For the density of states at the Fermi level, the calculation gives 1.39 states/eV per atom.

No. 4
## Tm5Ge4 (meta-GGA SCAN)

Data for a PBEsol-optimized structure of Tm5Ge4.

The structure belongs to space group Pnma (No. 62); the cell edges are 7.430, 14.276 and 7.509 Å and the angles 90.00°, 90.00° and 90.00°. The inequivalent atoms are Tm at (0.024, 0.100, 0.177), Tm at (0.125, 0.619, 0.338), Tm at (0.210, 0.250, 0.501), Ge at (0.077, 0.250, 0.882), Ge at (0.169, 0.750, 0.639) and Ge at (0.215, 0.043, 0.534).

Its formation enthalpy at 0 K is -923 meV/atom. The raw total energy is -1375.253 eV per cell. Its size of the total moment is 0.000 μB per atom. For the density of states at the Fermi level, the calculation gives 0.46 states/eV per atom.